{
  "formula": "CsHfSc2",
  "functional": "GGA-PBE",
  "state": "relaxed",
  "formation_enthalpy_0k_ev_per_atom": 0.44,
  "e_tot_ev_per_atom": -5.43,
  "volume_a3_per_fu": 118,
  "lattice": [[1.686, 0.974, 11.928], [-1.686, 0.974, 11.928], [0.000, -1.947, 11.928]],
  "species": ["Cs", "Hf", "Sc", "Sc"],
  "fractional_positions": [[0.000, 0.000, 0.000], [0.500, 0.500, 0.500], [0.099, 0.099, 0.099], [0.901, 0.901, 0.901]]
}